Entry 1:
This record from the Alexandria database describes a crystal of LaAl2Hg2 relaxed with PBEsol. The functional is meta-GGA SCAN.

a = 4.5028 Å, b = 4.5028 Å, c = 10.9160 Å
α = 90.00°, β = 90.00°, γ = 90.00°
Closest atoms and distances in Å follow each position.
Space group I4/mmm (No. 139)
Unique sites:
La  0.0000  0.0000  0.0000  8 Al 3.42, 8 Hg 3.54
Al  0.0000  0.0000  0.3847  1 Al 2.52, 4 Hg 2.69
Hg  0.0000  0.5000  0.2500  4 Al 2.69

---

Entry 2:
This record from the Alexandria database describes a crystal of LaAlHg2 relaxed with PBEsol. The functional is meta-GGA SCAN.

a = 4.5769 Å, b = 4.5769 Å, c = 16.0024 Å
α = 90.00°, β = 90.00°, γ = 120.00°
Closest atoms and distances in Å follow each position.
Space group R-3m (No. 166, hexagonal axes)
Unique sites:
La  0.0000  0.0000  0.0000  6 Hg 3.18
Al  0.0000  0.0000  0.5000  6 Hg 2.79
Hg  0.0000  0.0000  0.2230  3 Al 2.79

---

Entry 3:
This record from the Alexandria database describes a crystal of La2AlHgPb relaxed with PBEsol. The functional is meta-GGA SCAN.

a = 5.8111 Å, b = 5.8111 Å, c = 5.4116 Å
α = 90.00°, β = 90.00°, γ = 90.00°
Closest atoms and distances in Å follow each position.
Space group P4/mmm (No. 123)
Unique sites:
La  0.0000  0.5000  0.0000  2 Hg 2.91
Al  0.0000  0.0000  0.5000  8 La 3.97, 4 Pb 4.11
Hg  0.5000  0.5000  0.0000  2 Pb 2.71, 4 La 2.91
Pb  0.5000  0.5000  0.5000  2 Hg 2.71

---

Entry 4:
This record from the Alexandria database describes a crystal of LaZr2AlHg relaxed with PBEsol. The functional is meta-GGA SCAN.

a = 5.0562 Å, b = 5.0562 Å, c = 5.4220 Å
α = 90.00°, β = 90.00°, γ = 90.00°
Closest atoms and distances in Å follow each position.
Space group P4/mmm (No. 123)
Unique sites:
La  0.0000  0.0000  0.0000  2 Al 2.71
Zr  0.0000  0.5000  0.5000  2 Al 2.53
Al  0.0000  0.0000  0.5000  4 Zr 2.53, 2 La 2.71
Hg  0.5000  0.5000  0.0000  4 La 3.58, 8 Zr 3.71

---

Entry 5:
This record from the Alexandria database describes a crystal of LiAlHg4 relaxed with PBEsol. The functional is meta-GGA SCAN.

a = 8.2163 Å, b = 8.2163 Å, c = 8.2163 Å
α = 90.00°, β = 90.00°, γ = 90.00°
Closest atoms and distances in Å follow each position.
Space group F-43m (No. 216)
Unique sites:
Li  0.0000  0.0000  0.0000  12 Hg 3.41, 4 Al 3.56
Al  0.2500  0.2500  0.2500  12 Hg 3.41, 4 Li 3.56
Hg  0.1252  0.1252  0.6252  6 Hg 2.90-2.91

---

Entry 6:
This record from the Alexandria database describes a crystal of Li2AlHg2 relaxed with PBEsol. The functional is meta-GGA SCAN.

a = 7.3756 Å, b = 7.3756 Å, c = 3.2724 Å
α = 90.00°, β = 90.00°, γ = 90.00°
Closest atoms and distances in Å follow each position.
Space group P4/mbm (No. 127)
Unique sites:
Li  0.1555  0.3445  0.0000  6 Hg 2.65-2.75
Al  0.0000  0.0000  0.5000  4 Hg 2.83
Hg  0.1448  0.6448  0.5000  6 Li 2.65-2.75, 2 Al 2.83

Values from the calculation:
**Energy relative to the lowest polymorph listed for this composition**: 0 meV/atom

---

Sequential total DFT energy (no corrections) output: -39.55; -47.39; -47.37; -35.64; -46.96; -30.09 eV per atom
Sequential ΔH_f (0 K) output: -2.824; -2.387; 1.065; 2.227; 1.032; -1.579 eV/f.u.